Computed, not measured: K2BaB after structural relaxation at the PBE level of DFT.

Summary:
- DOS at the Fermi energy (states/eV/f.u.) = 3.1
- volume (A^3/atom) = 49.87
- space group = I-42d
- total energy (eV per cell) = -15.150
- formation energy (eV per formula unit) = 3.22
- ρ (g/cm3) = 1.884

Cell: 8.916 8.916 8.916 Å, 95.58 95.58 143.68°
Fractional positions:
K (0.375, 0.020, 0.145)
K (0.770, 0.625, 0.645)
K (0.875, 0.230, 0.855)
K (0.980, 0.125, 0.355)
Ba (0.250, 0.750, 0.500)
Ba (0.500, 0.500, 0.000)
B (0.000, 0.000, 0.000)
B (0.750, 0.250, 0.500)